[1]
First-principles (PBE) data for a relaxed PmScGaTc crystal, as listed in the Alexandria database.

Structure (extended XYZ):
```
4
Lattice="4.8783 0.0000 0.0000 2.4392 4.2248 0.0000 2.4392 1.4083 3.9831" Properties=species:S:1:pos:R:3 pbc="T T T"
Sc 4.8783 2.8165 1.9916
Tc 7.3175 4.2248 2.9874
Ga 2.4392 1.4083 0.9958
Pm 0.0000 0.0000 0.0000
```

Output
Fermi-level density of states: 2.928 states/eV per cell
Magnetic moment: 0.0 Bohr magnetons per cell
Energy relative to the elements: -0.84 eV per formula unit
E_tot: -0.4651 Ry/atom

=====

[2]
First-principles (PBE) data for a relaxed PmScTlGa crystal, as listed in the Alexandria database.

Structure (extended XYZ):
```
4
Lattice="-3.1690 -1.6692 0.1673 0.1977 -0.7267 -3.5056 3.4621 -6.4198 1.5260" Properties=species:S:1:pos:R:3 pbc="T T T"
Pm 1.2938 -6.3521 -0.4440
Sc -0.3130 -3.3724 -1.1523
Tl 0.3366 -0.6241 0.1483
Ga 1.8900 -3.5047 0.8331
```

Output
Fermi-level density of states: 2.424 states/eV per cell
Magnetic moment: 0.0 Bohr magnetons per cell
Relative energy among the computed polymorphs: 0 meV per atom
Energy relative to the elements: -1.78 eV per formula unit
E_tot: -0.3353 Ry/atom

=====

[3]
First-principles (PBE) data for a relaxed PmScTlGa crystal, as listed in the Alexandria database.

Structure (extended XYZ):
```
4
Lattice="-4.3581 2.3018 1.5206 -4.3323 -0.6204 -2.7295 -3.8728 -2.8181 1.9140" Properties=species:S:1:pos:R:3 pbc="T T T"
Sc -3.1408 -0.2842 0.1763
Tl 0.0000 0.0000 0.0000
Ga -6.2816 -0.5683 0.3526
Pm -9.4224 -0.8525 0.5289
```

Output
Fermi-level density of states: 1.916 states/eV per cell
Magnetic moment: 0.0 Bohr magnetons per cell
Relative energy among the computed polymorphs: 45 meV per atom
Energy relative to the elements: -1.59 eV per formula unit
E_tot: -0.3320 Ry/atom

=====

[4]
First-principles (PBE) data for a relaxed PmYScGa crystal, as listed in the Alexandria database.

Structure (extended XYZ):
```
4
Lattice="5.2633 0.0000 0.0000 2.6317 4.5582 0.0000 2.6317 1.5194 4.2975" Properties=species:S:1:pos:R:3 pbc="T T T"
Y 7.8950 4.5582 3.2231
Sc 5.2633 3.0388 2.1488
Ga 0.0000 0.0000 0.0000
Pm 2.6317 1.5194 1.0744
```

Output
Fermi-level density of states: 4.725 states/eV per cell
Magnetic moment: 1.2 Bohr magnetons per cell
Energy relative to the elements: -0.62 eV per formula unit
E_tot: -0.3894 Ry/atom

=====

[5]
First-principles (PBE) data for a relaxed PmScZn2Ga2 crystal, as listed in the Alexandria database.

Structure (extended XYZ):
```
6
Lattice="-1.6812 2.9612 2.7456 -1.5984 -0.3793 -4.0540 -4.7019 -4.8053 2.3034" Properties=species:S:1:pos:R:3 pbc="T T T"
Pm 0.0000 0.0000 0.0000
Sc -2.3510 -2.4026 1.1517
Zn -4.9840 -1.5560 2.1107
Zn -2.9975 -0.6674 -1.1156
Ga -2.9502 0.5225 1.1143
Ga -5.0313 -2.7459 -0.1192
```

Output
Fermi-level density of states: 3.648 states/eV per cell
Magnetic moment: 0.0 Bohr magnetons per cell
Energy relative to the elements: -3.37 eV per formula unit
E_tot: -0.2824 Ry/atom

=====

[6]
First-principles (PBE) data for a relaxed Pm3GaSe2 crystal, as listed in the Alexandria database.

Structure (extended XYZ):
```
6
Lattice="0.2224 -3.9829 -1.0886 4.5657 -0.7777 3.7781 -6.5738 0.8523 3.3918" Properties=species:S:1:pos:R:3 pbc="T T T"
Pm -2.7780 -1.0155 3.1480
Pm 0.0000 0.0000 0.0000
Pm 0.9922 -2.8928 2.9333
Ga 2.2828 -0.3888 1.8891
Se -1.2858 -2.5021 1.0388
Se -0.5000 -1.4061 5.0426
```

Output
Fermi-level density of states: 1.045 states/eV per cell
Magnetic moment: 0.0 Bohr magnetons per cell
Energy relative to the elements, uncorrected: -8.8 eV per formula unit
E_tot: -0.4044 Ry/atom

=====

What is the formula in the fifth record?
PmScZn2Ga2

=====

Look up the E_tot of the first one.
-0.4651 Ry/atom

=====

Among the records above, which one has the lowest E_tot?
PmScGaTc